# TaAl2FeO, relaxed, DFT PBE+U
data_TaAl2FeO
_chemical_formula_sum 'Ta1 Al2 Fe1 O1'
_space_group_name_H-M_alt 'P 4/m m m'
_space_group_IT_number 123
_space_group_name_Hall '-P 4 2'
_cell_length_a 5.328
_cell_length_b 5.328
_cell_length_c 3.829
_cell_angle_alpha 90.00
_cell_angle_beta 90.00
_cell_angle_gamma 90.00
loop_
_atom_site_label
_atom_site_type_symbol
_atom_site_fract_x
_atom_site_fract_y
_atom_site_fract_z
_atom_site_occupancy
Ta1 Ta 0.000 0.000 0.000 1
Al1 Al 0.000 0.500 0.000 1
Fe1 Fe 0.500 0.500 0.500 1
O1 O 0.000 0.000 0.500 1
# total energy	-28.96	eV per cell
# volume	21.7	A^3/atom